(1)
ReRu2Br: optimized geometry, GGA-PBE.

Results
Fermi-level density of states   3.73 states/eV per cell
V   15.6 Å³/atom
Excess energy over the best structure of this formula in the dataset   6.7 meV per atom
Magnetization   0.000 μB/cell
Formation energy (no corrections)   0.517 eV/atom
Space-group type   R-3m

a = 8.926 Å, b = 8.926 Å, c = 8.926 Å
α = 18.47°, β = 18.47°, γ = 18.47°
Element x y z (fractional)
Re1 0.000 0.000 0.000
Ru1 0.254 0.254 0.254
Ru2 0.746 0.746 0.746
Br1 0.500 0.500 0.500

=====

(2)
PrCd2Bi: optimized geometry, GGA-PBE.

Results
Fermi-level density of states   1.55 states/eV per cell
V   27.6 Å³/atom
Formation energy from the elements   -0.44 eV per atom
Magnetization   0.000 μB/cell
Space-group type   P4/mmm

a = 4.634 Å, b = 4.634 Å, c = 5.143 Å
α = 90.00°, β = 90.00°, γ = 90.00°
Element x y z (fractional)
Pr1 0.000 0.000 0.000
Cd1 0.000 0.500 0.500
Cd2 0.500 0.000 0.500
Bi1 0.500 0.500 0.000

=====

(3)
In6IrO12: optimized geometry, GGA-PBE.

Results
Fermi-level density of states   0.51 states/eV per cell
V   12.8 Å³/atom
Magnetization   3.040 μB/cell
Formation energy (no corrections)   -1.338 eV/atom
Space-group type   R-3

a = 6.322 Å, b = 6.322 Å, c = 6.322 Å
α = 98.86°, β = 98.86°, γ = 98.86°
Element x y z (fractional)
In1 0.105 0.639 0.817
In2 0.183 0.895 0.361
In3 0.361 0.183 0.895
In4 0.639 0.817 0.105
In5 0.817 0.105 0.639
In6 0.895 0.361 0.183
Ir1 0.500 0.500 0.500
O1 0.081 0.324 0.906
O2 0.094 0.919 0.676
O3 0.202 0.544 0.410
O4 0.324 0.906 0.081
O5 0.410 0.202 0.544
O6 0.456 0.590 0.798
O7 0.544 0.410 0.202
O8 0.590 0.798 0.456
O9 0.676 0.094 0.919
O10 0.798 0.456 0.590
O11 0.906 0.081 0.324
O12 0.919 0.676 0.094

=====

(4)
Pm5Zn2Sn5: optimized geometry, GGA-PBE.

Results
Fermi-level density of states   5.46 states/eV per cell
V   26.8 Å³/atom
Formation energy from the elements   -0.65 eV per atom
Magnetization   0.000 μB/cell
Space-group type   C2/m

a = 8.439 Å, b = 8.439 Å, c = 11.148 Å
α = 127.66°, β = 127.66°, γ = 31.68°
Element x y z (fractional)
Pm1 0.000 0.000 0.000
Pm2 0.107 0.107 0.417
Pm3 0.192 0.192 0.826
Pm4 0.808 0.808 0.174
Pm5 0.893 0.893 0.583
Zn1 0.360 0.360 0.762
Zn2 0.640 0.640 0.238
Sn1 0.255 0.255 0.320
Sn2 0.436 0.436 0.140
Sn3 0.500 0.500 0.500
Sn4 0.564 0.564 0.860
Sn5 0.745 0.745 0.680

=====

(5)
Mg3InSn2: optimized geometry, GGA-PBE.

Results
Fermi-level density of states   2.44 states/eV per cell
V   23.8 Å³/atom
Excess energy over the best structure of this formula in the dataset   0.0 meV per atom
Formation energy from the elements   -0.11 eV per atom
Magnetization   0.000 μB/cell
Space-group type   Cmmm

a = 7.750 Å, b = 7.750 Å, c = 4.212 Å
α = 90.00°, β = 90.00°, γ = 145.56°
Element x y z (fractional)
Mg1 0.000 0.000 0.000
Mg2 0.332 0.668 0.000
Mg3 0.668 0.332 0.000
In1 0.500 0.500 0.500
Sn1 0.164 0.836 0.500
Sn2 0.836 0.164 0.500

=====

(6)
HgAs2Br: optimized geometry, GGA-PBE.

Results
Fermi-level density of states   2.21 states/eV per cell
V   28.9 Å³/atom
Excess energy over the best structure of this formula in the dataset   437.5 meV per atom
Magnetization   0.000 μB/cell
Formation energy (no corrections)   0.388 eV/atom
Space-group type   Cmmm

a = 8.026 Å, b = 8.026 Å, c = 2.654 Å
α = 90.00°, β = 90.00°, γ = 137.51°
Element x y z (fractional)
Hg1 0.000 0.000 0.000
As1 0.000 0.500 0.500
As2 0.500 0.000 0.500
Br1 0.500 0.500 0.000